TaSi2Ru | GGA-PBE | relaxed

```
data_TaSi2Ru
_space_group_name_H-M_alt 'I -4 2 d'
_space_group_IT_number 122
_space_group_name_Hall 'I -4 2bw'
_cell_length_a 3.8160
_cell_length_b 3.8160
_cell_length_c 17.6550
_cell_angle_alpha 90.00
_cell_angle_beta 90.00
_cell_angle_gamma 90.00
loop_
_atom_site_label
_atom_site_type_symbol
_atom_site_fract_x
_atom_site_fract_y
_atom_site_fract_z
_atom_site_occupancy
Ta1 Ta 0.0000 0.0000 0.0000 1
Si1 Si 0.2163 0.2500 0.6250 1
Ru1 Ru 0.0000 0.0000 0.5000 1
```

Values from the calculation:
- uncorrected formation energy (eV/atom) = 0.06

***

Ac7Pd2Au2 | GGA-PBE | relaxed

```
data_Ac7Pd2Au2
_space_group_name_H-M_alt 'C m m m'
_space_group_IT_number 65
_space_group_name_Hall '-C 2 2'
_cell_length_a 8.3256
_cell_length_b 12.2273
_cell_length_c 7.7035
_cell_angle_alpha 90.00
_cell_angle_beta 90.00
_cell_angle_gamma 90.00
loop_
_atom_site_label
_atom_site_type_symbol
_atom_site_fract_x
_atom_site_fract_y
_atom_site_fract_z
_atom_site_occupancy
Ac1 Ac 0.0000 0.0000 0.0000 1
Ac2 Ac 0.0000 0.5000 0.2587 1
Ac3 Ac 0.2500 0.2500 0.2673 1
Pd1 Pd 0.0000 0.2966 0.0000 1
Au1 Au 0.1802 0.0000 0.5000 1
```

Values from the calculation:
- E_form (eV/f.u.) = -4.1

***

LaTe2Pd2 | GGA-PBE | relaxed

```
data_LaTe2Pd2
_space_group_name_H-M_alt 'I 4/m m m'
_space_group_IT_number 139
_space_group_name_Hall '-I 4 2'
_cell_length_a 5.2065
_cell_length_b 5.2065
_cell_length_c 9.1495
_cell_angle_alpha 90.00
_cell_angle_beta 90.00
_cell_angle_gamma 90.00
loop_
_atom_site_label
_atom_site_type_symbol
_atom_site_fract_x
_atom_site_fract_y
_atom_site_fract_z
_atom_site_occupancy
La1 La 0.0000 0.0000 0.0000 1
Te1 Te 0.0000 0.5000 0.2500 1
Pd1 Pd 0.0000 0.0000 0.3466 1
```

Values from the calculation:
- uncorrected formation energy (eV/atom) = -0.76